## YHfCd2 (PBE)

Data for a relaxed YHfCd2 crystal.

The structure in POSCAR format:
```
YHfCd2
1.0
3.605 0.000 0.000
0.000 3.605 0.000
0.000 0.000 7.262
Y Hf Cd
1 1 2
Direct
0.000 0.000 0.000 Y
0.000 0.000 0.500 Hf
0.500 0.500 0.272 Cd
0.500 0.500 0.728 Cd
```

The value obtained for the magnetization is 0.00 μB/atom. The value obtained for the energy above the most stable polymorph in this dataset is 0.000 eV/atom.